Entry 1:
Material: K2MoCl5O
Method: DFT, PBEsol
State: relaxed

a = 6.8730 Å, b = 9.7265 Å, c = 13.3590 Å
α = 90.00°, β = 90.00°, γ = 90.00°
Element x y z (fractional)
Cl  0.0878  0.2500  0.7480
Cl  0.4122  0.2500  0.2480
O  0.4712  0.2500  0.4983
Cl  0.0238  0.2500  0.5011
Cl  0.2020  0.4936  0.1085
Cl  0.5645  0.2500  0.7222
Cl  0.2980  0.0064  0.6085
Cl  0.5238  0.7500  0.9989
K  0.1768  0.0023  0.3551
Cl  0.7980  0.5064  0.8915
K  0.1768  0.4977  0.3551
Cl  0.4762  0.2500  0.0011
K  0.3232  0.4977  0.8551
Cl  0.9762  0.7500  0.4989
Mo  0.6805  0.7500  0.4048
Cl  0.0645  0.7500  0.7778
Cl  0.9355  0.2500  0.2222
K  0.6768  0.5023  0.1449
Mo  0.8195  0.7500  0.9048
Cl  0.4355  0.7500  0.2778
K  0.8232  0.9977  0.6449
Cl  0.9122  0.7500  0.2520
O  0.5288  0.7500  0.5017
Cl  0.7980  0.9936  0.8915
Cl  0.7020  0.9936  0.3915
Cl  0.7020  0.5064  0.3915
K  0.8232  0.5023  0.6449
Cl  0.5878  0.7500  0.7520
Cl  0.2020  0.0064  0.1085
K  0.6768  0.9977  0.1449
K  0.3232  0.0023  0.8551
Mo  0.3195  0.2500  0.5952
O  0.0288  0.2500  0.9983
Cl  0.2980  0.4936  0.6085
O  0.9712  0.7500  0.0017
Mo  0.1805  0.2500  0.0952

magnetic moment: 4.00 μB/cell
electronic total energy: -173.4 eV for the cell shown
symmetry: Pnma (62)
density: 2.73 g cm⁻³
formation energy without anion corrections: -1559 meV per atom



Entry 2:
Material: LaIn4Au2
Method: DFT, PBEsol
State: relaxed

a = 4.6925 Å, b = 7.3089 Å, c = 18.4922 Å
α = 90.00°, β = 90.00°, γ = 90.00°
Element x y z (fractional)
Au  0.7500  0.0284  0.2176
Au  0.2500  0.7416  0.0373
In  0.2500  0.4853  0.4323
In  0.2500  0.3503  0.0353
In  0.7500  0.1799  0.8159
Au  0.2500  0.9716  0.7824
La  0.2500  0.4821  0.8593
In  0.7500  0.7287  0.3114
In  0.2500  0.8201  0.1841
In  0.2500  0.6799  0.6841
In  0.7500  0.5147  0.5677
In  0.7500  0.3201  0.3159
In  0.2500  0.2713  0.6886
Au  0.7500  0.2416  0.4627
Au  0.7500  0.4716  0.7176
In  0.2500  0.1497  0.5353
In  0.2500  0.0147  0.9323
La  0.7500  0.5179  0.1407
Au  0.2500  0.5284  0.2824
Au  0.7500  0.2584  0.9627
In  0.7500  0.9853  0.0677
In  0.7500  0.7713  0.8114
La  0.7500  0.9821  0.6407
In  0.7500  0.6497  0.9647
In  0.7500  0.8503  0.4647
La  0.2500  0.0179  0.3593
In  0.2500  0.2287  0.1886
Au  0.2500  0.7584  0.5373

magnetic moment: 0.00 μB/cell
electronic total energy: -114.6 eV for the cell shown
symmetry: Pnma (62)
density: 10.39 g cm⁻³



Entry 3:
Material: Li2SbH2
Method: DFT, PBEsol
State: relaxed

a = 3.3893 Å, b = 3.3893 Å, c = 5.6859 Å
α = 107.34°, β = 107.34°, γ = 90.00°
Element x y z (fractional)
Sb  0.0000  0.0000  0.0000
Li  0.3116  0.3116  0.6231
H  0.2500  0.7500  0.5000
Li  0.6884  0.6884  0.3769
H  0.7500  0.2500  0.5000

magnetic moment: 0.00 μB/cell
electronic total energy: -15.4 eV for the cell shown
symmetry: I4/mmm (139)
density: 3.86 g cm⁻³



Entry 4:
Material: Ca3Y
Method: DFT, PBEsol
State: relaxed

a = 3.6569 Å, b = 5.4259 Å, c = 7.5417 Å
α = 90.00°, β = 90.00°, γ = 90.00°
Element x y z (fractional)
Y  0.0000  0.0000  0.0000
Ca  0.5000  0.5000  0.7607
Ca  0.5000  0.5000  0.2393
Ca  0.0000  0.0000  0.5000

magnetic moment: 0.01 μB/cell
electronic total energy: -12.8 eV for the cell shown
symmetry: Pmmm (47)
density: 2.32 g cm⁻³



Entry 5:
Material: BeTlIn2
Method: DFT, PBEsol
State: relaxed

a = 3.5993 Å, b = 4.6793 Å, c = 6.0857 Å
α = 111.80°, β = 106.18°, γ = 92.54°
Element x y z (fractional)
Tl  0.5000  0.0000  0.0000
In  0.0000  0.0000  0.5000
Be  0.0000  0.5000  0.0000
In  0.5000  0.5000  0.5000

magnetic moment: 0.00 μB/cell
electronic total energy: -10.7 eV for the cell shown
symmetry: C2/m (12)
density: 8.16 g cm⁻³



Entry 6:
Material: SnTe2P
Method: DFT, PBEsol
State: relaxed

a = 5.1129 Å, b = 5.1129 Å, c = 5.1129 Å
α = 60.00°, β = 60.00°, γ = 60.00°
Element x y z (fractional)
P  0.0000  0.0000  0.0000
Sn  0.5000  0.5000  0.5000
Te  0.2500  0.2500  0.2500
Te  0.7500  0.7500  0.7500

magnetic moment: 0.00 μB/cell
electronic total energy: -15.7 eV for the cell shown
symmetry: Fm-3m (225)
density: 7.11 g cm⁻³
formation energy without anion corrections: 340 meV per atom



Entry 7:
Material: HfTiBe2
Method: DFT, PBEsol
State: relaxed

a = 4.2464 Å, b = 4.2464 Å, c = 4.2464 Å
α = 60.00°, β = 60.00°, γ = 60.00°
Element x y z (fractional)
Ti  0.0000  0.0000  0.0000
Be  0.2500  0.2500  0.2500
Hf  0.5000  0.5000  0.5000
Be  0.7500  0.7500  0.7500

magnetic moment: 0.00 μB/cell
electronic total energy: -27.2 eV for the cell shown
symmetry: Fm-3m (225)
density: 7.49 g cm⁻³



Entry 8:
Material: TlHgF3
Method: DFT, PBEsol
State: relaxed

a = 4.5191 Å, b = 4.5191 Å, c = 4.5191 Å
α = 90.00°, β = 90.00°, γ = 90.00°
Element x y z (fractional)
F  0.5000  0.0000  0.5000
F  0.0000  0.5000  0.5000
F  0.5000  0.5000  0.0000
Hg  0.5000  0.5000  0.5000
Tl  0.0000  0.0000  0.0000

magnetic moment: 0.00 μB/cell
electronic total energy: -16.5 eV for the cell shown
symmetry: Pm-3m (221)
density: 8.31 g cm⁻³
formation energy without anion corrections: -1496 meV per atom



Entry 9:
Material: Ca3BiB
Method: DFT, PBEsol
State: relaxed

a = 5.8585 Å, b = 5.8585 Å, c = 5.8585 Å
α = 90.00°, β = 90.00°, γ = 90.00°
Element x y z (fractional)
Ca  0.5000  0.0000  0.0000
B  0.5000  0.5000  0.5000
Ca  0.0000  0.5000  0.0000
Ca  0.0000  0.0000  0.5000
Bi  0.0000  0.0000  0.0000

magnetic moment: 1.47 μB/cell
electronic total energy: -13.9 eV for the cell shown
symmetry: Pm-3m (221)
density: 2.81 g cm⁻³



Entry 10:
Material: ScNi2W
Method: DFT, PBEsol
State: relaxed

a = 2.6786 Å, b = 4.3054 Å, c = 5.4124 Å
α = 97.14°, β = 90.00°, γ = 108.12°
Element x y z (fractional)
Ni  0.2492  0.4985  0.2994
Sc  0.5000  0.0000  0.0000
Ni  0.7508  0.5015  0.7006
W  0.0000  0.0000  0.5000

magnetic moment: 0.00 μB/cell
electronic total energy: -32.2 eV for the cell shown
symmetry: C2/m (12)
density: 9.77 g cm⁻³



Entry 11:
Material: BaCa3Rh
Method: DFT, PBEsol
State: relaxed

a = 6.2809 Å, b = 8.1228 Å, c = 8.1228 Å
α = 120.00°, β = 90.00°, γ = 90.00°
Element x y z (fractional)
Ca  0.2500  0.6778  0.8389
Rh  0.5000  0.0000  0.0000
Rh  0.0000  0.0000  0.0000
Ca  0.7500  0.8389  0.6778
Ba  0.2500  0.6667  0.3333
Ca  0.2500  0.1611  0.3222
Ba  0.7500  0.3333  0.6667
Ca  0.2500  0.1611  0.8389
Ca  0.7500  0.3222  0.1611
Ca  0.7500  0.8389  0.1611

magnetic moment: 0.00 μB/cell
electronic total energy: -35.3 eV for the cell shown
symmetry: P6_3/mmc (194)
density: 3.34 g cm⁻³



Entry 12:
Material: AsIrS
Method: DFT, PBEsol
State: relaxed

a = 5.7774 Å, b = 5.7774 Å, c = 5.7774 Å
α = 90.00°, β = 90.00°, γ = 90.00°
Element x y z (fractional)
Ir  0.9947  0.5053  0.4947
As  0.1183  0.6183  0.8817
Ir  0.0053  0.0053  0.0053
Ir  0.4947  0.9947  0.5053
As  0.3817  0.3817  0.3817
As  0.6183  0.8817  0.1183
As  0.8817  0.1183  0.6183
S  0.1136  0.8864  0.3864
S  0.8864  0.3864  0.1136
Ir  0.5053  0.4947  0.9947
S  0.6136  0.6136  0.6136
S  0.3864  0.1136  0.8864

magnetic moment: 0.00 μB/cell
electronic total energy: -85.0 eV for the cell shown
symmetry: P2_13 (198)
density: 10.31 g cm⁻³
formation energy without anion corrections: -643 meV per atom



- magnetic moment of number 7 (HfTiBe2)?
  0.00 μB/cell



- Among the records above, which one has the lowest density?
  Ca3Y